A geometry-optimized TaAl2Rh structure, computed with PBE.

VASP energy: -7.082 eV/atom
Total moment: 0.000 μB per atom
ρ: 9.00 g/cm³
Space group: Imm2 (44)

Unit cell a=5.388 b=5.388 c=5.388 alpha=147.62 beta=131.36 gamma=59.64
Positions (direct):
Al (0.999, 0.999, 0.000)
Rh (0.509, 0.509, 0.000)
Al (0.731, 0.231, 0.500)
Ta (0.262, 0.762, 0.500)

---

A geometry-optimized Y4W structure, computed with PBE.

VASP energy: -7.332 eV/atom
Total moment: 0.000 μB per atom
ρ: 6.66 g/cm³
Space group: Immm (71)

Unit cell a=8.930 b=8.930 c=8.930 alpha=158.77 beta=148.50 gamma=38.30
Positions (direct):
W (0.000, 0.000, 0.000)
Y (0.810, 0.810, 0.000)
Y (0.413, 0.413, 0.000)
Y (0.190, 0.190, 0.000)
Y (0.587, 0.587, 0.000)